No. 1
Below is a relaxed TcHgAs2Br crystal, with properties calculated at the GGA-PBEsol level.

Properties
Formation energy from raw total energies: 317 meV/atom
Total magnetic moment: 0.00 μB per cell
VASP energy: -22.33 eV per cell
Mass density: 7.41 g/cm³
Density of states at the Fermi level: 0.68 states/eV/atom

Lattice parameters (Å, degrees): 4.695 4.695 5.372 90.00 90.00 90.00
Space group P4/mmm (No. 123)
One atom of each set of equivalent atoms:
Tc (0.000, 0.000, 0.000) x1
Hg (0.500, 0.500, 0.500) x1
As (0.000, 0.500, 0.000) x2
Br (0.000, 0.000, 0.500) x1

No. 2
Below is a relaxed TiHg6As4Br7 crystal, with properties calculated at the GGA-PBEsol level.

Properties
Formation energy from raw total energies: -457 meV/atom
Total magnetic moment: 3.19 μB per cell
VASP energy: -213.84 eV per cell
Mass density: 7.44 g/cm³
Density of states at the Fermi level: 0.37 states/eV/atom

Lattice parameters (Å, degrees): 12.351 12.351 12.351 90.00 90.00 90.00
Space group Pa-3 (No. 205)
One atom of each set of equivalent atoms:
Ti (0.000, 0.000, 0.000) x4
Hg (0.045, 0.188, 0.698) x24
As (0.152, 0.652, 0.848) x8
As (0.232, 0.232, 0.232) x8
Br (0.000, 0.000, 0.500) x4
Br (0.040, 0.548, 0.304) x24

No. 3
Below is a relaxed YHgAsBr2 crystal, with properties calculated at the GGA-PBEsol level.

Properties
Formation energy from raw total energies: -14 meV/atom
Total magnetic moment: 0.00 μB per cell
VASP energy: -16.30 eV per cell
Mass density: 6.01 g/cm³
Density of states at the Fermi level: 0.21 states/eV/atom

Lattice parameters (Å, degrees): 5.216 5.216 5.323 90.00 90.00 90.00
Space group P4/mmm (No. 123)
One atom of each set of equivalent atoms:
Y (0.000, 0.000, 0.000) x1
Hg (0.500, 0.500, 0.500) x1
As (0.500, 0.500, 0.000) x1
Br (0.000, 0.500, 0.500) x2

No. 4
Below is a relaxed ZnHgAs2Br crystal, with properties calculated at the GGA-PBEsol level.

Properties
Formation energy from raw total energies: 926 meV/atom
Total magnetic moment: 1.63 μB per cell
VASP energy: -9.60 eV per cell
Mass density: 5.62 g/cm³
Density of states at the Fermi level: 0.82 states/eV/atom

Lattice parameters (Å, degrees): 5.145 5.145 5.531 90.00 90.00 90.00
Space group P4/mmm (No. 123)
One atom of each set of equivalent atoms:
Zn (0.000, 0.000, 0.000) x1
Hg (0.500, 0.500, 0.500) x1
As (0.000, 0.500, 0.500) x2
Br (0.500, 0.500, 0.000) x1

No. 5
Below is a relaxed AsIBr2 crystal, with properties calculated at the GGA-PBEsol level.

Properties
Formation energy from raw total energies: -35 meV/atom
Total magnetic moment: 0.00 μB per cell
VASP energy: -43.01 eV per cell
Mass density: 4.88 g/cm³
Density of states at the Fermi level: 0.52 states/eV/atom

Lattice parameters (Å, degrees): 9.305 9.305 5.688 90.00 90.00 90.00
Space group I-42d (No. 122)
One atom of each set of equivalent atoms:
As (0.000, 0.000, 0.000) x4
I (0.000, 0.000, 0.500) x4
Br (0.129, 0.250, 0.125) x8

No. 6
Below is a relaxed AsI2BrN crystal, with properties calculated at the GGA-PBEsol level.

Properties
Formation energy from raw total energies: 684 meV/atom
Total magnetic moment: 0.00 μB per cell
VASP energy: -15.62 eV per cell
Mass density: 5.36 g/cm³
Density of states at the Fermi level: 0.77 states/eV/atom

Lattice parameters (Å, degrees): 6.085 6.085 3.535 90.00 90.00 90.00
Space group P4/mmm (No. 123)
One atom of each set of equivalent atoms:
As (0.000, 0.000, 0.000) x1
I (0.000, 0.500, 0.000) x2
Br (0.500, 0.500, 0.500) x1
N (0.000, 0.000, 0.500) x1